(1)
## Rb2AsSe2 (PBE)

Data for an optimized crystal structure of Rb2AsSe2.

Cell lengths 14.6067, 6.8596, 9.0920 Å; angles 90.00, 114.37, 90.00 degrees
Space group C2/m (No. 12)
Inequivalent atoms, fractional coordinates:
Rb (0.0107, 0.0000, 0.2666)
Rb (0.1811, 0.5000, 0.1269)
As (0.1552, 0.5000, 0.6398)
Se (0.0195, 0.5000, 0.7191)
Se (0.1880, 0.0000, 0.1155)

Summary:
Volume = 830 Å³ per cell
Energy relative to the elements, uncorrected = -0.678 eV per atom

(2)
## Rb2As2Se3 (PBE)

Data for an optimized crystal structure of Rb2As2Se3.

Cell lengths 13.5153, 4.7570, 7.2268 Å; angles 90.00, 106.67, 90.00 degrees
Space group C2/m (No. 12)
Inequivalent atoms, fractional coordinates:
Rb (0.1085, 0.0000, 0.2850)
As (0.1383, 0.5000, 0.8479)
Se (0.0000, 0.5000, 0.5000)
Se (0.2058, 0.0000, 0.7993)

Summary:
Volume = 445 Å³ per cell
Energy relative to the elements, uncorrected = -0.478 eV per atom

(3)
## RbAs2Se (PBE)

Data for an optimized crystal structure of RbAs2Se.

Cell lengths 8.2213, 8.2213, 7.8444 Å; angles 90.00, 90.00, 90.00 degrees
Space group I-42d (No. 122)
Inequivalent atoms, fractional coordinates:
Rb (0.0000, 0.0000, 0.0000)
As (0.1372, 0.2500, 0.6250)
Se (0.0000, 0.0000, 0.5000)

Summary:
Volume = 530 Å³ per cell
Energy relative to the elements, uncorrected = 0.103 eV per atom

(4)
## Rb7AsSe6 (PBE)

Data for an optimized crystal structure of Rb7AsSe6.

Cell lengths 8.7774, 15.7028, 17.8039 Å; angles 90.00, 90.00, 90.00 degrees
Space group Ibam (No. 72)
Inequivalent atoms, fractional coordinates:
Rb (0.0000, 0.0000, 0.2500)
Rb (0.1516, 0.2838, 0.1205)
Rb (0.2256, 0.0300, 0.0000)
As (0.0000, 0.5000, 0.2500)
Se (0.0671, 0.1656, 0.5000)
Se (0.1604, 0.4110, 0.3219)

Summary:
Volume = 2454 Å³ per cell
Energy relative to the elements, uncorrected = -0.888 eV per atom

(5)
## Rb2As2Se (PBE)

Data for an optimized crystal structure of Rb2As2Se.

Cell lengths 8.2947, 8.2947, 5.0432 Å; angles 90.00, 90.00, 90.00 degrees
Space group P4/mbm (No. 127)
Inequivalent atoms, fractional coordinates:
Rb (0.2038, 0.2962, 0.0000)
As (0.0959, 0.5959, 0.5000)
Se (0.0000, 0.0000, 0.5000)

Summary:
Volume = 347 Å³ per cell
Energy relative to the elements, uncorrected = -0.287 eV per atom

(6)
## Rb3AsSe16 (PBE)

Data for an optimized crystal structure of Rb3AsSe16.

Cell lengths 17.0976, 17.0976, 17.0976 Å; angles 90.00, 90.00, 90.00 degrees
Space group Fd-3 (No. 203, origin choice 2)
Inequivalent atoms, fractional coordinates:
Rb (0.0000, 0.0000, 0.0000)
Rb (0.1250, 0.1250, 0.6250)
As (0.1250, 0.1250, 0.1250)
Se (0.0067, 0.1126, 0.4319)
Se (0.0450, 0.0450, 0.2050)

Summary:
Volume = 4998 Å³ per cell
Energy relative to the elements, uncorrected = -0.338 eV per atom

Here are the calculated DFT total energy numbers, same order: -67.77; -50.07; -53.36; -179.03; -32.31; -560.48 (eV/cell).